No. 1
SrSbTe2Pt after structural relaxation. Source: the Alexandria database, functional GGA-PBE.

Summary:
Total DFT energy (no corrections)   -4.051 eV per atom
Formation energy without anion corrections   -0.43 eV per atom

Cell lengths 5.6801, 5.6801, 5.0134 Å; angles 90.00, 90.00, 90.00 degrees
Atoms (fractional coordinates):
Sr  0.0000  0.0000  0.0000
Sb  0.5000  0.5000  0.0000
Te  0.0000  0.5000  0.5000
Te  0.5000  0.0000  0.5000
Pt  0.5000  0.5000  0.5000

***

No. 2
KCoSN2 after structural relaxation. Source: the Alexandria database, functional GGA-PBE.

Summary:
Total DFT energy (no corrections)   -4.929 eV per atom
Formation energy without anion corrections   0.87 eV per atom

Cell lengths 3.9987, 3.9987, 4.6615 Å; angles 90.00, 90.00, 90.00 degrees
Atoms (fractional coordinates):
K  0.0000  0.0000  0.0000
Co  0.5000  0.5000  0.5000
S  0.5000  0.5000  0.0000
N  0.0000  0.5000  0.5000
N  0.5000  0.0000  0.5000

***

No. 3
PIBr2 after structural relaxation. Source: the Alexandria database, functional GGA-PBE.

Summary:
Total DFT energy (no corrections)   -2.173 eV per atom
Formation energy without anion corrections   0.40 eV per atom

Cell lengths 13.4415, 13.4415, 13.4415 Å; angles 14.45, 14.45, 14.45 degrees
Atoms (fractional coordinates):
P  0.0000  0.0000  0.0000
I  0.5000  0.5000  0.5000
Br  0.0598  0.0598  0.0598
Br  0.9402  0.9402  0.9402

***

- Look up the formation energy without anion corrections of the first one.
  -0.43 eV per atom

***

Copy entry 3 word for word.
PIBr2 after structural relaxation. Source: the Alexandria database, functional GGA-PBE.

Summary:
Total DFT energy (no corrections)   -2.173 eV per atom
Formation energy without anion corrections   0.40 eV per atom

Cell lengths 13.4415, 13.4415, 13.4415 Å; angles 14.45, 14.45, 14.45 degrees
Atoms (fractional coordinates):
P  0.0000  0.0000  0.0000
I  0.5000  0.5000  0.5000
Br  0.0598  0.0598  0.0598
Br  0.9402  0.9402  0.9402

***

- The lowest formation energy without anion corrections belongs to which entry?
  SrSbTe2Pt

***

- What is the formula in the first record?
  SrSbTe2Pt